DFT (GGA-PBE) results for a relaxed structure of NaZnSb3.

Values from the calculation:
Its total energy is -3.05 eV per atom. As for the magnetization: 0.0 μB/f.u. As for the density of states at the Fermi level: 0.37 states/eV/atom. The value obtained for the calculated volume is 139.3 Å³/f.u.

The structure in CIF format:
```
data_NaZnSb3
_cell_length_a 6.3113
_cell_length_b 6.7449
_cell_length_c 6.5489
_cell_angle_alpha 90.00
_cell_angle_beta 91.56
_cell_angle_gamma 90.00
_space_group_name_H-M_alt 'P 1 m 1'
_space_group_IT_number 6
_space_group_name_Hall 'P -2y'
loop_
_atom_site_label
_atom_site_type_symbol
_atom_site_fract_x
_atom_site_fract_y
_atom_site_fract_z
Na1 Na 0.0000 0.0000 0.0000
Na2 Na 0.4911 0.5000 0.5185
Zn1 Zn 0.3232 0.0000 0.3869
Zn2 Zn 0.8207 0.5000 0.1342
Sb1 Sb 0.1171 0.5000 0.8371
Sb2 Sb 0.4588 0.2493 0.0548
Sb3 Sb 0.6258 0.0000 0.6893
Sb4 Sb 0.9635 0.2426 0.4574
```

=====

DFT (GGA-PBE) results for a relaxed structure of Na5Zn2Sb5.

Values from the calculation:
Its total energy is -2.69 eV per atom. As for the magnetization: 0.0 μB/f.u. As for the density of states at the Fermi level: 0.16 states/eV/atom. The value obtained for the calculated volume is 338.6 Å³/f.u.

The structure in CIF format:
```
data_Na5Zn2Sb5
_cell_length_a 11.1555
_cell_length_b 5.1492
_cell_length_c 11.9170
_cell_angle_alpha 90.00
_cell_angle_beta 98.41
_cell_angle_gamma 90.00
_space_group_name_H-M_alt 'C 1 2/m 1'
_space_group_IT_number 12
_space_group_name_Hall '-C 2y'
loop_
_atom_site_label
_atom_site_type_symbol
_atom_site_fract_x
_atom_site_fract_y
_atom_site_fract_z
Na1 Na 0.0000 0.0000 0.0000
Na2 Na 0.1508 0.0000 0.5545
Na3 Na 0.2420 0.5000 0.1150
Zn1 Zn 0.0939 0.5000 0.3021
Sb1 Sb 0.0000 0.5000 0.5000
Sb2 Sb 0.0903 0.5000 0.8675
Sb3 Sb 0.2422 0.0000 0.3012
```

=====

DFT (GGA-PBE) results for a relaxed structure of Na3Zn5Sb2.

Values from the calculation:
Its total energy is -1.98 eV per atom. As for the magnetization: 0.0 μB/f.u. As for the density of states at the Fermi level: 0.25 states/eV/atom. The value obtained for the calculated volume is 231.8 Å³/f.u.

The structure in CIF format:
```
data_Na3Zn5Sb2
_cell_length_a 10.5962
_cell_length_b 15.4910
_cell_length_c 5.6498
_cell_angle_alpha 90.00
_cell_angle_beta 90.00
_cell_angle_gamma 90.00
_space_group_name_H-M_alt 'I b a m'
_space_group_IT_number 72
_space_group_name_Hall '-I 2 2c'
loop_
_atom_site_label
_atom_site_type_symbol
_atom_site_fract_x
_atom_site_fract_y
_atom_site_fract_z
Na1 Na 0.0000 0.0000 0.2500
Na2 Na 0.2243 0.3347 0.0000
Zn1 Zn 0.0000 0.2230 0.2500
Zn2 Zn 0.0000 0.5000 0.2500
Zn3 Zn 0.0666 0.3605 0.5000
Sb1 Sb 0.1764 0.1253 0.0000
```

=====

DFT (GGA-PBE) results for a relaxed structure of NaZn4Sb3.

Values from the calculation:
Its total energy is -2.45 eV per atom. As for the magnetization: 0.0 μB/f.u. As for the density of states at the Fermi level: 0.25 states/eV/atom. The value obtained for the calculated volume is 202.9 Å³/f.u.

The structure in CIF format:
```
data_NaZn4Sb3
_cell_length_a 4.4752
_cell_length_b 4.4752
_cell_length_c 35.1011
_cell_angle_alpha 90.00
_cell_angle_beta 90.00
_cell_angle_gamma 120.00
_space_group_name_H-M_alt 'R -3 m'
_space_group_IT_number 166
_space_group_name_Hall '-R 3 2"'
loop_
_atom_site_label
_atom_site_type_symbol
_atom_site_fract_x
_atom_site_fract_y
_atom_site_fract_z
Na1 Na 0.0000 0.0000 0.0000
Zn1 Zn 0.0000 0.0000 0.1989
Zn2 Zn 0.0000 0.0000 0.4129
Sb1 Sb 0.0000 0.0000 0.2749
Sb2 Sb 0.0000 0.0000 0.5000
```

=====

DFT (GGA-PBE) results for a relaxed structure of NaZn4Sb2.

Values from the calculation:
Its total energy is -2.09 eV per atom. As for the magnetization: 0.0 μB/f.u. As for the density of states at the Fermi level: 0.36 states/eV/atom. The value obtained for the calculated volume is 165.3 Å³/f.u.

The structure in CIF format:
```
data_NaZn4Sb2
_cell_length_a 4.9436
_cell_length_b 4.9436
_cell_length_c 23.4274
_cell_angle_alpha 90.00
_cell_angle_beta 90.00
_cell_angle_gamma 120.00
_space_group_name_H-M_alt 'R -3 m'
_space_group_IT_number 166
_space_group_name_Hall '-R 3 2"'
loop_
_atom_site_label
_atom_site_type_symbol
_atom_site_fract_x
_atom_site_fract_y
_atom_site_fract_z
Na1 Na 0.0000 0.0000 0.0000
Zn1 Zn 0.0000 0.0000 0.1297
Zn2 Zn 0.0000 0.0000 0.4448
Sb1 Sb 0.0000 0.0000 0.2453
```

=====

DFT (GGA-PBE) results for a relaxed structure of Na2Zn2Sb3.

Values from the calculation:
Its total energy is -2.66 eV per atom. As for the magnetization: 0.0 μB/f.u. As for the density of states at the Fermi level: 0.19 states/eV/atom. The value obtained for the calculated volume is 203.9 Å³/f.u.

The structure in CIF format:
```
data_Na2Zn2Sb3
_cell_length_a 4.0592
_cell_length_b 6.6832
_cell_length_c 7.9636
_cell_angle_alpha 97.70
_cell_angle_beta 90.21
_cell_angle_gamma 107.56
_space_group_name_H-M_alt 'P -1'
_space_group_IT_number 2
_space_group_name_Hall '-P 1'
loop_
_atom_site_label
_atom_site_type_symbol
_atom_site_fract_x
_atom_site_fract_y
_atom_site_fract_z
Na1 Na 0.1441 0.2826 0.3498
Zn1 Zn 0.3369 0.6745 0.0089
Sb1 Sb 0.0000 0.0000 0.0000
Sb2 Sb 0.1699 0.3417 0.7516
```

=====

DFT (GGA-PBE) results for a relaxed structure of NaZn5Sb4.

Values from the calculation:
Its total energy is -2.42 eV per atom. As for the magnetization: 0.0 μB/f.u. As for the density of states at the Fermi level: 0.28 states/eV/atom. The value obtained for the calculated volume is 257.2 Å³/f.u.

The structure in CIF format:
```
data_NaZn5Sb4
_cell_length_a 4.3719
_cell_length_b 7.6747
_cell_length_c 15.3286
_cell_angle_alpha 90.00
_cell_angle_beta 90.00
_cell_angle_gamma 90.00
_space_group_name_H-M_alt 'I m m m'
_space_group_IT_number 71
_space_group_name_Hall '-I 2 2'
loop_
_atom_site_label
_atom_site_type_symbol
_atom_site_fract_x
_atom_site_fract_y
_atom_site_fract_z
Na1 Na 0.0000 0.0000 0.0000
Zn1 Zn 0.0000 0.3118 0.3304
Zn2 Zn 0.0000 0.5000 0.0000
Sb1 Sb 0.0000 0.0000 0.2351
Sb2 Sb 0.0000 0.2173 0.5000
```

=====

DFT (GGA-PBE) results for a relaxed structure of NaZn2Sb2.

Values from the calculation:
Its total energy is -2.50 eV per atom. As for the magnetization: 0.0 μB/f.u. As for the density of states at the Fermi level: 0.48 states/eV/atom. The value obtained for the calculated volume is 127.3 Å³/f.u.

The structure in CIF format:
```
data_NaZn2Sb2
_cell_length_a 4.7164
_cell_length_b 4.7164
_cell_length_c 11.4458
_cell_angle_alpha 90.00
_cell_angle_beta 90.00
_cell_angle_gamma 90.00
_space_group_name_H-M_alt 'I 4/m m m'
_space_group_IT_number 139
_space_group_name_Hall '-I 4 2'
loop_
_atom_site_label
_atom_site_type_symbol
_atom_site_fract_x
_atom_site_fract_y
_atom_site_fract_z
Na1 Na 0.0000 0.0000 0.0000
Zn1 Zn 0.0000 0.0000 0.3942
Sb1 Sb 0.0000 0.5000 0.2500
```

=====

magnetization of number 2 (Na5Zn2Sb5)?
0.0 μB/f.u.

=====

Which formula does entry 8 have?
NaZn2Sb2